Entry 1:
A relaxed structure of Pm4Cd3Hg5, computed with PBE.

Computed properties:
Its formation energy is -0.17 eV/atom.

Cell and atoms, written as CIF:
```
data_Pm4Cd3Hg5
_space_group_name_H-M_alt 'P 1'
_space_group_IT_number 1
_space_group_name_Hall 'P 1'
_cell_length_a 7.166
_cell_length_b 7.166
_cell_length_c 8.687
_cell_angle_alpha 95.34
_cell_angle_beta 95.34
_cell_angle_gamma 50.63
loop_
_atom_site_label
_atom_site_fract_x
_atom_site_fract_y
_atom_site_fract_z
_atom_site_occupancy
Pm1 0.089 0.089 0.158 1
Pm2 0.386 0.386 0.111 1
Pm3 0.614 0.614 0.889 1
Pm4 0.911 0.911 0.842 1
Cd1 0.163 0.163 0.798 1
Cd2 0.500 0.500 0.500 1
Cd3 0.837 0.837 0.202 1
Hg1 0.000 0.000 0.500 1
Hg2 0.266 0.266 0.429 1
Hg3 0.378 0.378 0.756 1
Hg4 0.622 0.622 0.244 1
Hg5 0.734 0.734 0.571 1
```

---

Entry 2:
A relaxed structure of PmCdHg, computed with PBE.

Computed properties:
Its relative energy among the computed polymorphs is 0.2132 eV per atom. Its formation energy is -0.18 eV/atom.

Cell and atoms, written as CIF:
```
data_PmCdHg
_space_group_name_H-M_alt 'P 1'
_space_group_IT_number 1
_space_group_name_Hall 'P 1'
_cell_length_a 3.756
_cell_length_b 3.756
_cell_length_c 11.392
_cell_angle_alpha 90.00
_cell_angle_beta 90.07
_cell_angle_gamma 90.00
loop_
_atom_site_label
_atom_site_fract_x
_atom_site_fract_y
_atom_site_fract_z
_atom_site_occupancy
Pm1 0.250 0.250 0.112 1
Pm2 0.750 0.750 0.888 1
Cd1 0.250 0.250 0.428 1
Cd2 0.750 0.750 0.572 1
Hg1 0.249 0.250 0.723 1
Hg2 0.751 0.750 0.277 1
```

---

Entry 3:
A relaxed structure of PmCd3Hg6, computed with PBE.

Computed properties:
Its relative energy among the computed polymorphs is 0.0184 eV per atom. Its formation energy is -0.12 eV/atom.

Cell and atoms, written as CIF:
```
data_PmCd3Hg6
_space_group_name_H-M_alt 'P 1'
_space_group_IT_number 1
_space_group_name_Hall 'P 1'
_cell_length_a 8.617
_cell_length_b 8.617
_cell_length_c 8.617
_cell_angle_alpha 107.52
_cell_angle_beta 107.52
_cell_angle_gamma 107.52
loop_
_atom_site_label
_atom_site_fract_x
_atom_site_fract_y
_atom_site_fract_z
_atom_site_occupancy
Pm1 0.000 0.000 0.000 1
Pm2 0.500 0.500 0.500 1
Cd1 0.077 0.250 0.423 1
Cd2 0.250 0.423 0.077 1
Cd3 0.423 0.077 0.250 1
Cd4 0.577 0.923 0.750 1
Cd5 0.750 0.577 0.923 1
Cd6 0.923 0.750 0.577 1
Hg1 0.044 0.862 0.312 1
Hg2 0.138 0.688 0.956 1
Hg3 0.188 0.638 0.456 1
Hg4 0.312 0.044 0.862 1
Hg5 0.362 0.544 0.812 1
Hg6 0.456 0.188 0.638 1
Hg7 0.544 0.812 0.362 1
Hg8 0.638 0.456 0.188 1
Hg9 0.688 0.956 0.138 1
Hg10 0.812 0.362 0.544 1
Hg11 0.862 0.312 0.044 1
Hg12 0.956 0.138 0.688 1
```

---

Entry 4:
A relaxed structure of PmCdHg, computed with PBE.

Computed properties:
Its relative energy among the computed polymorphs is 0.1140 eV per atom. Its formation energy is -0.28 eV/atom.

Cell and atoms, written as CIF:
```
data_PmCdHg
_space_group_name_H-M_alt 'P 1'
_space_group_IT_number 1
_space_group_name_Hall 'P 1'
_cell_length_a 5.981
_cell_length_b 5.981
_cell_length_c 5.981
_cell_angle_alpha 142.42
_cell_angle_beta 142.42
_cell_angle_gamma 54.20
loop_
_atom_site_label
_atom_site_fract_x
_atom_site_fract_y
_atom_site_fract_z
_atom_site_occupancy
Pm1 0.000 0.000 0.000 1
Cd1 0.324 0.324 0.000 1
Hg1 0.674 0.674 0.000 1
```

---

Entry 5:
A relaxed structure of PmCd2Hg3, computed with PBE.

Computed properties:
Its relative energy among the computed polymorphs is 0.0241 eV per atom. Its formation energy is -0.18 eV/atom.

Cell and atoms, written as CIF:
```
data_PmCd2Hg3
_space_group_name_H-M_alt 'P 1'
_space_group_IT_number 1
_space_group_name_Hall 'P 1'
_cell_length_a 8.837
_cell_length_b 8.837
_cell_length_c 5.736
_cell_angle_alpha 90.00
_cell_angle_beta 90.00
_cell_angle_gamma 136.73
loop_
_atom_site_label
_atom_site_fract_x
_atom_site_fract_y
_atom_site_fract_z
_atom_site_occupancy
Pm1 0.166 0.834 0.750 1
Pm2 0.834 0.166 0.250 1
Cd1 0.237 0.237 0.000 1
Cd2 0.237 0.237 0.500 1
Cd3 0.763 0.763 0.000 1
Cd4 0.763 0.763 0.500 1
Hg1 0.080 0.416 0.750 1
Hg2 0.359 0.641 0.250 1
Hg3 0.416 0.080 0.250 1
Hg4 0.584 0.920 0.750 1
Hg5 0.641 0.359 0.750 1
Hg6 0.920 0.584 0.250 1
```

---

Entry 6:
A relaxed structure of Pm2Cd2Hg, computed with PBE.

Computed properties:
Its relative energy among the computed polymorphs is 0.0000 eV per atom. Its formation energy is -0.32 eV/atom.

Cell and atoms, written as CIF:
```
data_Pm2Cd2Hg
_space_group_name_H-M_alt 'P 1'
_space_group_IT_number 1
_space_group_name_Hall 'P 1'
_cell_length_a 8.140
_cell_length_b 8.140
_cell_length_c 3.453
_cell_angle_alpha 90.00
_cell_angle_beta 90.00
_cell_angle_gamma 144.98
loop_
_atom_site_label
_atom_site_fract_x
_atom_site_fract_y
_atom_site_fract_z
_atom_site_occupancy
Pm1 0.113 0.887 0.000 1
Pm2 0.887 0.113 0.000 1
Cd1 0.300 0.700 0.500 1
Cd2 0.700 0.300 0.500 1
Hg1 0.500 0.500 0.500 1
```

---

Entry 7:
A relaxed structure of Pm3Cd2Hg3, computed with PBE.

Computed properties:
Its relative energy among the computed polymorphs is 0.0000 eV per atom. Its formation energy is -0.37 eV/atom.

Cell and atoms, written as CIF:
```
data_Pm3Cd2Hg3
_space_group_name_H-M_alt 'P 1'
_space_group_IT_number 1
_space_group_name_Hall 'P 1'
_cell_length_a 10.710
_cell_length_b 10.710
_cell_length_c 10.710
_cell_angle_alpha 158.76
_cell_angle_beta 151.35
_cell_angle_gamma 35.94
loop_
_atom_site_label
_atom_site_fract_x
_atom_site_fract_y
_atom_site_fract_z
_atom_site_occupancy
Pm1 0.000 0.000 0.000 1
Pm2 0.366 0.866 0.500 1
Pm3 0.634 0.134 0.500 1
Cd1 0.238 0.238 0.000 1
Cd2 0.762 0.762 0.000 1
Hg1 0.123 0.623 0.500 1
Hg2 0.500 0.500 0.000 1
Hg3 0.877 0.377 0.500 1
```

---

Entry 8:
A relaxed structure of PmCdHg4, computed with PBE.

Computed properties:
Its relative energy among the computed polymorphs is 0.0000 eV per atom. Its formation energy is -0.24 eV/atom.

Cell and atoms, written as CIF:
```
data_PmCdHg4
_space_group_name_H-M_alt 'P 1'
_space_group_IT_number 1
_space_group_name_Hall 'P 1'
_cell_length_a 6.713
_cell_length_b 6.713
_cell_length_c 4.918
_cell_angle_alpha 90.50
_cell_angle_beta 90.50
_cell_angle_gamma 42.18
loop_
_atom_site_label
_atom_site_fract_x
_atom_site_fract_y
_atom_site_fract_z
_atom_site_occupancy
Pm1 0.000 0.000 0.000 1
Cd1 0.500 0.500 0.500 1
Hg1 0.165 0.165 0.502 1
Hg2 0.329 0.329 0.999 1
Hg3 0.671 0.671 0.001 1
Hg4 0.835 0.835 0.498 1
```